Computed, not measured: crystalline Pr3Zn6Ag5 at its relaxed geometry at the PBE level of DFT.

Calculated values
theoretical density	7.81	g/cm3
total energy	-39.87	eV/cell
calculated volume	288	Å³/f.u.

Structure (POSCAR):
```
Pr3Zn6Ag5
1.0
-2.259 4.739 6.726
2.259 -4.739 6.726
2.259 4.739 -6.726
Pr Zn Ag
3 6 5
Cartesian
0.000 0.000 0.000 Pr
0.000 0.000 4.015 Pr
0.000 0.000 9.437 Pr
2.259 -2.004 4.971 Zn
2.259 2.968 0.000 Zn
0.000 2.736 1.755 Zn
2.259 2.004 4.971 Zn
0.000 1.771 6.726 Zn
0.000 6.743 1.755 Zn
2.259 -1.406 2.197 Ag
2.259 1.406 2.197 Ag
0.000 4.739 0.000 Ag
0.000 3.334 4.529 Ag
0.000 6.145 4.529 Ag
```